A plane-wave DFT calculation with PBE-GGA was carried out for a relaxed Ce7Pd2Ru2 crystal.

```
Ce7Pd2Ru2
1.0
3.145 -5.485 0.000
3.145 5.485 0.000
-0.210 0.000 7.464
Ce Pd Ru
7 2 2
Cartesian
0.000 0.000 0.000 Ce
1.416 2.196 6.246 Ce
1.428 0.000 3.216 Ce
1.416 -2.196 6.246 Ce
4.663 2.196 1.218 Ce
4.652 0.000 4.247 Ce
4.663 -2.196 1.218 Ce
3.040 2.841 3.732 Pd
3.040 -2.841 3.732 Pd
2.789 0.000 1.336 Ru
3.291 0.000 6.127 Ru
```

V: 257.47 Å³/f.u.
total energy: -6.651 eV/atom